Entry 1:
Density functional theory data (GGA-PBE) for a relaxed structure of Nd3ZnCu2Pd9. Values from VASP.

```
&SYSTEM
  ibrav = 0, nat = 15, ntyp = 4
/
ATOMIC_SPECIES
Pd 106.42 Pd.upf
Cu 63.55 Cu.upf
Nd 144.24 Nd.upf
Zn 65.41 Zn.upf
CELL_PARAMETERS angstrom
7.5713 0.0000 0.0000
-3.7856 6.5569 0.0000
0.0000 0.0000 6.1784
ATOMIC_POSITIONS crystal
Pd 0.8340 0.1660 0.6700
Cu 0.3333 0.6667 0.1671
Nd 0.0000 0.0000 0.0000
Pd 0.0000 0.5000 0.0000
Nd 0.6667 0.3333 0.3309
Zn 0.0000 0.0000 0.5000
Pd 0.5000 0.0000 0.0000
Nd 0.3333 0.6667 0.6691
Pd 0.8340 0.6679 0.6700
Pd 0.1660 0.8340 0.3300
Cu 0.6667 0.3333 0.8329
Pd 0.6679 0.8340 0.3300
Pd 0.5000 0.5000 0.0000
Pd 0.1660 0.3321 0.3300
Pd 0.3321 0.1660 0.6700
```

Summary:
SG   P-3m1 (164)
Formation energy from the elements   -291 meV/atom

***

Entry 2:
Density functional theory data (GGA-PBE) for a relaxed structure of CeTm2Tc. Values from VASP.

```
&SYSTEM
  ibrav = 0, nat = 16, ntyp = 3
/
ATOMIC_SPECIES
Tm 168.93 Tm.upf
Tc 98.00 Tc.upf
Ce 140.12 Ce.upf
CELL_PARAMETERS angstrom
6.2604 0.0000 0.0000
0.0000 7.1276 0.0000
0.0000 0.0000 9.4305
ATOMIC_POSITIONS crystal
Tm 0.6682 0.8235 0.5645
Tc 0.9959 0.6367 0.7500
Tm 0.3318 0.1765 0.0645
Tc 0.4959 0.8633 0.2500
Tm 0.6682 0.8235 0.9355
Ce 0.3631 0.4466 0.7500
Tc 0.0041 0.3633 0.2500
Tm 0.1682 0.6765 0.4355
Tm 0.8318 0.3235 0.9355
Tm 0.3318 0.1765 0.4355
Tc 0.5041 0.1367 0.7500
Tm 0.1682 0.6765 0.0645
Ce 0.1369 0.9466 0.7500
Ce 0.8631 0.0534 0.2500
Tm 0.8318 0.3235 0.5645
Ce 0.6369 0.5534 0.2500
```

Summary:
SG   Pnma (62)
Formation energy from the elements   -204 meV/atom

***

Entry 3:
Density functional theory data (GGA-PBE) for a relaxed structure of K2TlAgF6. Values from VASP.

```
&SYSTEM
  ibrav = 0, nat = 20, ntyp = 4
/
ATOMIC_SPECIES
K 39.10 K.upf
F 19.00 F.upf
Ag 107.87 Ag.upf
Tl 204.38 Tl.upf
CELL_PARAMETERS angstrom
6.2792 0.0000 0.0123
0.0000 6.4953 0.0000
0.0745 0.0000 8.8842
ATOMIC_POSITIONS crystal
K 0.4852 0.4483 0.2481
F 0.6865 0.2785 0.5572
F 0.2845 0.6912 0.0463
Ag 0.5000 0.0000 0.0000
F 0.2155 0.1912 0.4537
F 0.9010 0.5422 0.2384
Tl 0.5000 0.0000 0.5000
F 0.7155 0.3088 0.9537
F 0.5990 0.0422 0.2616
Ag 0.0000 0.5000 0.5000
F 0.3135 0.7215 0.4428
F 0.0990 0.4578 0.7616
K 0.9852 0.0517 0.7481
Tl 0.0000 0.5000 0.0000
F 0.4010 0.9578 0.7384
F 0.7845 0.8088 0.5463
K 0.5148 0.5517 0.7519
F 0.8135 0.7785 0.9428
K 0.0148 0.9483 0.2519
F 0.1865 0.2215 0.0572
```

Summary:
Uncorrected formation energy   -2.1085 eV per atom
SG   P2_1/c (14)

***

Entry 4:
Density functional theory data (GGA-PBE) for a relaxed structure of TaTeOF2. Values from VASP.

```
&SYSTEM
  ibrav = 0, nat = 5, ntyp = 4
/
ATOMIC_SPECIES
Ta 180.95 Ta.upf
F 19.00 F.upf
Te 127.60 Te.upf
O 16.00 O.upf
CELL_PARAMETERS angstrom
-3.9081 -1.9994 -0.3004
1.9330 -3.8866 0.7211
-0.5297 0.4542 3.8681
ATOMIC_POSITIONS crystal
Ta 0.0000 0.0000 0.0000
F 0.5000 0.0000 0.0000
Te 0.5000 0.5000 0.5000
F 0.0000 0.5000 0.0000
O 0.0000 0.0000 0.5000
```

Summary:
Uncorrected formation energy   -1.4469 eV per atom
SG   P4/mmm (123)